Entry 1:
First-principles (PBE) data for a geometry-optimized Nd5DyTm3 structure, as listed in the Alexandria database.

Density of states at the Fermi level in states/eV/atom: 1.463
E above lowest polymorph in eV per atom: 0.137
Space-group type: I4/mcm
VASP energy in eV/cell: -78.04
ρ in g cm⁻³: 7.5
Energy relative to the elements in meV/atom: 315

Cell: 9.2815 9.2815 9.7007 Å, 118.58 118.58 90.00°
Sites, in units of the cell vectors:
Tm (0.1096, 0.3904, 0.0000)
Nd (0.9313, 0.4313, 0.2644)
Nd (0.5687, 0.6669, 0.7356)
Tm (0.3904, 0.8904, 0.0000)
Nd (0.6669, 0.1669, 0.7356)
Nd (0.0000, 0.0000, 0.0000)
Tm (0.2500, 0.2500, 0.5000)
Tm (0.7500, 0.7500, 0.5000)
Tm (0.8904, 0.6096, 0.0000)
Nd (0.3331, 0.8331, 0.2644)
Nd (0.5000, 0.5000, 0.0000)
Dy (0.7500, 0.2500, 0.5000)
Nd (0.4313, 0.3331, 0.2644)
Dy (0.2500, 0.7500, 0.5000)
Nd (0.0687, 0.5687, 0.7356)
Nd (0.8331, 0.9313, 0.2644)
Tm (0.6096, 0.1096, 0.0000)
Nd (0.1669, 0.0687, 0.7356)



Entry 2:
First-principles (PBE) data for a geometry-optimized NdDy2Tm3 structure, as listed in the Alexandria database.

Density of states at the Fermi level in states/eV/atom: 1.281
E above lowest polymorph in eV per atom: 0.000
Space-group type: Cmcm
VASP energy in eV/cell: -54.56
ρ in g cm⁻³: 8.6
Energy relative to the elements in meV/atom: 18

Cell: 11.4376 6.1610 6.1610 Å, 120.01 90.00 90.00°
Sites, in units of the cell vectors:
Tm (0.9697, 0.1675, 0.8326)
Dy (0.2196, 0.8335, 0.5007)
Dy (0.7196, 0.4993, 0.1665)
Nd (0.2197, 0.1665, 0.1665)
Dy (0.7196, 0.1665, 0.4993)
Nd (0.7197, 0.8335, 0.8335)
Tm (0.9697, 0.8326, 0.1675)
Tm (0.4697, 0.1674, 0.8325)
Tm (0.4697, 0.8325, 0.1674)
Dy (0.2196, 0.5007, 0.8335)
Tm (0.9696, 0.5000, 0.5000)
Tm (0.4696, 0.5000, 0.5000)



Entry 3:
First-principles (PBE) data for a geometry-optimized Nd2Dy9Tm structure, as listed in the Alexandria database.

Density of states at the Fermi level in states/eV/atom: 1.634
E above lowest polymorph in eV per atom: 0.048
Space-group type: P6/mmm
VASP energy in eV/cell: -54.58
ρ in g cm⁻³: 8.3
Energy relative to the elements in meV/atom: 71

Cell: 3.4882 11.2599 11.2599 Å, 120.00 90.00 90.00°
Sites, in units of the cell vectors:
Dy (0.5000, 0.1728, 0.3455)
Dy (0.5000, 0.8272, 0.1728)
Tm (0.0000, 0.0000, 0.0000)
Dy (0.0000, 0.0000, 0.5000)
Nd (0.0000, 0.6667, 0.3333)
Dy (0.0000, 0.5000, 0.0000)
Dy (0.5000, 0.8272, 0.6545)
Dy (0.5000, 0.3455, 0.1728)
Dy (0.5000, 0.1728, 0.8272)
Dy (0.5000, 0.6545, 0.8272)
Dy (0.0000, 0.5000, 0.5000)
Nd (0.0000, 0.3333, 0.6667)



Entry 4:
First-principles (PBE) data for a geometry-optimized Nd8Dy4Tm3 structure, as listed in the Alexandria database.

Density of states at the Fermi level in states/eV/atom: 1.645
E above lowest polymorph in eV per atom: 0.000
Space-group type: R-3m
VASP energy in eV/cell: -67.66
ρ in g cm⁻³: 7.6
Energy relative to the elements in meV/atom: 153

Cell: 7.0078 7.0078 12.5930 Å, 73.84 73.84 60.00°
Sites, in units of the cell vectors:
Nd (0.7501, 0.7501, 0.2521)
Dy (0.5000, 0.5000, 0.5000)
Nd (0.2452, 0.2452, 0.2643)
Dy (0.6643, 0.6643, 0.0070)
Dy (0.0000, 0.0000, 0.0000)
Nd (0.7548, 0.7548, 0.7357)
Nd (0.2478, 0.7501, 0.2521)
Nd (0.7501, 0.2478, 0.2521)
Tm (0.5000, 0.0000, 0.5000)
Nd (0.2499, 0.7522, 0.7479)
Tm (0.0000, 0.0000, 0.5000)
Nd (0.7522, 0.2499, 0.7479)
Nd (0.2499, 0.2499, 0.7479)
Tm (0.0000, 0.5000, 0.5000)
Dy (0.3357, 0.3357, 0.9930)



Entry 5:
First-principles (PBE) data for a geometry-optimized Nd7DyTm12 structure, as listed in the Alexandria database.

Density of states at the Fermi level in states/eV/atom: 1.430
E above lowest polymorph in eV per atom: 0.432
Space-group type: Im-3m
VASP energy in eV/cell: -78.39
ρ in g cm⁻³: 7.5
Energy relative to the elements in meV/atom: 662

Cell: 9.7090 9.7090 9.7090 Å, 109.47 109.47 109.47°
Sites, in units of the cell vectors:
Nd (0.0000, 0.0000, 0.5000)
Dy (0.0000, 0.0000, 0.0000)
Tm (0.2457, 0.7539, 0.9996)
Nd (0.5000, 0.0000, 0.0000)
Tm (0.2461, 0.4918, 0.2457)
Nd (0.0000, 0.5000, 0.5000)
Tm (0.2457, 0.2461, 0.4918)
Tm (0.4918, 0.2457, 0.2461)
Nd (0.5000, 0.0000, 0.5000)
Tm (0.2461, 0.0004, 0.7543)
Nd (0.5000, 0.5000, 0.5000)
Tm (0.0004, 0.7543, 0.2461)
Tm (0.7539, 0.9996, 0.2457)
Tm (0.5082, 0.7543, 0.7539)
Nd (0.0000, 0.5000, 0.0000)
Tm (0.7539, 0.5082, 0.7543)
Tm (0.7543, 0.7539, 0.5082)
Tm (0.9996, 0.2457, 0.7539)
Tm (0.7543, 0.2461, 0.0004)
Nd (0.5000, 0.5000, 0.0000)



Entry 6:
First-principles (PBE) data for a geometry-optimized Nd3Dy8Tm2 structure, as listed in the Alexandria database.

Density of states at the Fermi level in states/eV/atom: 1.591
E above lowest polymorph in eV per atom: 0.155
Space-group type: C2/m
VASP energy in eV/cell: -56.91
ρ in g cm⁻³: 7.9
Energy relative to the elements in meV/atom: 242

Cell: 5.6536 7.7290 10.6948 Å, 111.18 90.05 90.00°
Sites, in units of the cell vectors:
Dy (0.0006, 0.8641, 0.7283)
Tm (0.5017, 0.7588, 0.5177)
Dy (0.9985, 0.3270, 0.6540)
Dy (0.5005, 0.8183, 0.2194)
Dy (0.0015, 0.6730, 0.3460)
Nd (0.5000, 0.0000, 0.0000)
Nd (0.0000, 0.2923, 0.0000)
Dy (0.4995, 0.1817, 0.7806)
Dy (0.4995, 0.5989, 0.7806)
Nd (0.0000, 0.7077, 0.0000)
Dy (0.9994, 0.1359, 0.2717)
Tm (0.4983, 0.2412, 0.4823)
Dy (0.5005, 0.4011, 0.2194)



Entry 7:
First-principles (PBE) data for a geometry-optimized Nd3Dy2Tm3 structure, as listed in the Alexandria database.

Density of states at the Fermi level in states/eV/atom: 2.166
E above lowest polymorph in eV per atom: 0.105
Space-group type: Immm
VASP energy in eV/cell: -35.90
ρ in g cm⁻³: 8.1
Energy relative to the elements in meV/atom: 128

Cell: 5.9335 5.9423 8.4811 Å, 110.55 110.48 90.00°
Sites, in units of the cell vectors:
Nd (0.5000, 0.5000, 0.0000)
Nd (0.6290, 0.1289, 0.2580)
Tm (0.8759, 0.3757, 0.7518)
Dy (0.2476, 0.2478, 0.4952)
Tm (0.1241, 0.6243, 0.2482)
Dy (0.7524, 0.7522, 0.5048)
Tm (0.0000, 0.0000, 0.0000)
Nd (0.3710, 0.8711, 0.7420)



Entry 8:
First-principles (PBE) data for a geometry-optimized Nd8Dy3Tm2 structure, as listed in the Alexandria database.

Density of states at the Fermi level in states/eV/atom: 1.399
Space-group type: P2/m
VASP energy in eV/cell: -58.25
ρ in g cm⁻³: 7.3
Energy relative to the elements in meV/atom: 204

Cell: 5.7523 7.7446 10.8656 Å, 110.92 90.01 90.00°
Sites, in units of the cell vectors:
Dy (0.0000, 0.7141, 0.0000)
Nd (0.5000, 0.5988, 0.7865)
Nd (0.9999, 0.1316, 0.2634)
Tm (0.5003, 0.7599, 0.5203)
Nd (0.0001, 0.8684, 0.7366)
Nd (0.5000, 0.8119, 0.2134)
Nd (0.5000, 0.1881, 0.7866)
Nd (0.0002, 0.6739, 0.3478)
Dy (0.5000, 0.0000, 0.0000)
Tm (0.4997, 0.2401, 0.4797)
Dy (0.0000, 0.2859, 0.0000)
Nd (0.9998, 0.3261, 0.6522)
Nd (0.5000, 0.4012, 0.2135)



Entry 9:
First-principles (PBE) data for a geometry-optimized Nd5DyTm4 structure, as listed in the Alexandria database.

Density of states at the Fermi level in states/eV/atom: 1.240
Space-group type: C2/m
VASP energy in eV/cell: -46.12
ρ in g cm⁻³: 7.9
Energy relative to the elements in meV/atom: 21

Cell: 3.5939 10.1567 9.4744 Å, 105.94 79.08 90.04°
Sites, in units of the cell vectors:
Tm (0.3007, 0.0997, 0.3987)
Nd (0.8999, 0.8056, 0.2004)
Tm (0.1012, 0.7044, 0.7982)
Nd (0.5000, 0.5000, 0.0000)
Tm (0.6993, 0.9003, 0.6013)
Tm (0.8988, 0.2956, 0.2018)
Nd (0.2995, 0.6010, 0.4006)
Dy (0.5000, 0.0000, 0.0000)
Nd (0.1001, 0.1944, 0.7996)
Nd (0.7005, 0.3990, 0.5994)



Entry 10:
First-principles (PBE) data for a geometry-optimized Nd2Dy4Tm5 structure, as listed in the Alexandria database.

Density of states at the Fermi level in states/eV/atom: 1.344
E above lowest polymorph in eV per atom: 0.000
Space-group type: P-1
VASP energy in eV/cell: -50.06
ρ in g cm⁻³: 8.6
Energy relative to the elements in meV/atom: 22

Cell: 3.5401 9.3691 11.7439 Å, 106.40 81.35 112.23°
Sites, in units of the cell vectors:
Dy (0.3140, 0.3602, 0.0928)
Tm (0.5907, 0.8197, 0.4570)
Tm (0.9557, 0.0924, 0.2737)
Dy (0.6860, 0.6398, 0.9072)
Nd (0.1374, 0.7299, 0.1835)
Dy (0.7715, 0.4537, 0.3645)
Tm (0.4093, 0.1803, 0.5430)
Tm (0.0443, 0.9076, 0.7263)
Nd (0.8626, 0.2701, 0.8165)
Tm (0.5000, 0.0000, 0.0000)
Dy (0.2285, 0.5463, 0.6355)



Entry 11:
First-principles (PBE) data for a geometry-optimized Nd2Dy4Tm3 structure, as listed in the Alexandria database.

Density of states at the Fermi level in states/eV/atom: 1.390
Space-group type: C2/c
VASP energy in eV/cell: -81.02
ρ in g cm⁻³: 8.4
Energy relative to the elements in meV/atom: 94

Cell: 5.9369 11.2288 11.2288 Å, 62.35 64.29 64.29°
Sites, in units of the cell vectors:
Dy (0.9081, 0.8398, 0.6244)
Dy (0.4081, 0.6244, 0.8398)
Tm (0.7500, 0.3477, 0.6523)
Tm (0.7580, 0.0138, 0.3153)
Nd (0.0730, 0.4928, 0.7170)
Nd (0.4270, 0.2830, 0.5072)
Dy (0.0919, 0.1602, 0.3756)
Dy (0.0800, 0.8319, 0.0440)
Tm (0.2580, 0.3153, 0.0138)
Tm (0.2500, 0.6523, 0.3477)
Tm (0.2420, 0.9862, 0.6847)
Dy (0.4200, 0.9560, 0.1681)
Dy (0.5800, 0.0440, 0.8319)
Nd (0.9270, 0.5072, 0.2830)
Nd (0.5730, 0.7170, 0.4928)
Dy (0.5919, 0.3756, 0.1602)
Tm (0.7420, 0.6847, 0.9862)
Dy (0.9200, 0.1681, 0.9560)



Entry 12:
First-principles (PBE) data for a geometry-optimized Nd3DyTm structure, as listed in the Alexandria database.

Density of states at the Fermi level in states/eV/atom: 1.290
E above lowest polymorph in eV per atom: 0.000
Space-group type: Pnma
VASP energy in eV/cell: -93.16
ρ in g cm⁻³: 7.6
Energy relative to the elements in meV/atom: 17

Cell: 3.6288 7.2093 25.4835 Å, 90.00 90.00 90.00°
Sites, in units of the cell vectors:
Nd (0.2500, 0.8719, 0.9509)
Tm (0.2500, 0.8742, 0.5491)
Nd (0.7500, 0.6304, 0.2503)
Tm (0.7500, 0.1258, 0.4509)
Nd (0.7500, 0.6176, 0.8517)
Nd (0.7500, 0.6281, 0.4509)
Dy (0.7500, 0.1237, 0.8520)
Nd (0.2500, 0.3719, 0.5491)
Nd (0.7500, 0.1176, 0.6483)
Dy (0.2500, 0.3763, 0.3520)
Nd (0.2500, 0.8824, 0.3517)
Nd (0.2500, 0.3824, 0.1483)
Nd (0.2500, 0.3696, 0.7497)
Nd (0.7500, 0.1281, 0.0491)
Nd (0.2500, 0.8696, 0.7503)
Nd (0.7500, 0.1304, 0.2497)
Tm (0.7500, 0.6258, 0.0491)
Dy (0.7500, 0.6237, 0.6480)
Dy (0.2500, 0.8763, 0.1480)
Tm (0.2500, 0.3742, 0.9509)